Computed, not measured: crystalline CrReN3 at its relaxed geometry at the GGA-PBEsol level of DFT.

a = 3.6204 Å, b = 3.6204 Å, c = 3.6204 Å
α = 90.00°, β = 90.00°, γ = 90.00°
Atoms (fractional coordinates):
Re (0.5000, 0.5000, 0.5000)
N (0.0000, 0.5000, 0.0000)
N (0.0000, 0.0000, 0.5000)
N (0.5000, 0.0000, 0.0000)
Cr (0.0000, 0.0000, 0.0000)

Properties
- calculated volume (Å³/cell) = 47.5
- SG = Pm-3m

***

Computed, not measured: crystalline SbMo3Rh at its relaxed geometry at the GGA-PBEsol level of DFT.

a = 4.6564 Å, b = 4.6564 Å, c = 4.6564 Å
α = 90.00°, β = 90.00°, γ = 90.00°
Atoms (fractional coordinates):
Sb (0.5000, 0.5000, 0.5000)
Mo (0.0000, 0.5000, 0.0000)
Mo (0.0000, 0.0000, 0.5000)
Mo (0.5000, 0.0000, 0.0000)
Rh (0.0000, 0.0000, 0.0000)

Properties
- calculated volume (Å³/cell) = 101.0
- SG = Pm-3m

***

Computed, not measured: crystalline KCuI3 at its relaxed geometry at the GGA-PBEsol level of DFT.

a = 5.4634 Å, b = 5.4634 Å, c = 5.4634 Å
α = 90.00°, β = 90.00°, γ = 90.00°
Atoms (fractional coordinates):
I (0.0000, 0.5000, 0.0000)
I (0.0000, 0.0000, 0.5000)
I (0.5000, 0.0000, 0.0000)
K (0.5000, 0.5000, 0.5000)
Cu (0.0000, 0.0000, 0.0000)

Properties
- calculated volume (Å³/cell) = 163.1
- SG = Pm-3m

***

Computed, not measured: crystalline Re3P at its relaxed geometry at the GGA-PBEsol level of DFT.

a = 3.8207 Å, b = 3.8207 Å, c = 3.8207 Å
α = 90.00°, β = 90.00°, γ = 90.00°
Atoms (fractional coordinates):
P (0.0000, 0.0000, 0.0000)
Re (0.0000, 0.5000, 0.5000)
Re (0.5000, 0.0000, 0.5000)
Re (0.5000, 0.5000, 0.0000)

Properties
- calculated volume (Å³/cell) = 55.8
- formation enthalpy at 0 K (eV per atom) = 0.60
- SG = Pm-3m
- relative energy among the computed polymorphs (eV/atom) = 0.760

***

Computed, not measured: crystalline Sc2AlS at its relaxed geometry at the GGA-PBEsol level of DFT.

a = 5.9217 Å, b = 5.9217 Å, c = 5.9217 Å
α = 105.80°, β = 105.80°, γ = 117.10°
Atoms (fractional coordinates):
Sc (0.6250, 0.6620, 0.5370)
Sc (0.1250, 0.0880, 0.4630)
Sc (0.9120, 0.3750, 0.0370)
Sc (0.3380, 0.8750, 0.9630)
S (0.0000, 0.0000, 0.0000)
S (0.2500, 0.7500, 0.5000)
Al (0.5000, 0.5000, 0.0000)
Al (0.7500, 0.2500, 0.5000)

Properties
- calculated volume (Å³/cell) = 157.7
- SG = I-42d

***

Computed, not measured: crystalline RbCrO2F at its relaxed geometry at the GGA-PBEsol level of DFT.

a = 3.7289 Å, b = 3.7289 Å, c = 4.3540 Å
α = 90.00°, β = 90.00°, γ = 90.00°
Each line ends with the local moment (μB).
Atoms (fractional coordinates):
Cr (0.0000, 0.0000, 0.0000)  2.03
O (0.0000, 0.5000, 0.0000)  -0.07
O (0.5000, 0.0000, 0.0000)  -0.07
Rb (0.5000, 0.5000, 0.5000)  0.00
F (0.0000, 0.0000, 0.5000)  0.00

Properties
- calculated volume (Å³/cell) = 60.5
- SG = P4/mmm

***

Computed, not measured: crystalline Ta2BeNi at its relaxed geometry at the GGA-PBEsol level of DFT.

a = 3.8922 Å, b = 3.8922 Å, c = 4.5322 Å
α = 115.43°, β = 115.43°, γ = 90.00°
Atoms (fractional coordinates):
Ni (0.0000, 0.0000, 0.0000)
Be (0.5000, 0.5000, 0.0000)
Ta (0.7500, 0.2500, 0.5000)
Ta (0.2500, 0.7500, 0.5000)

Properties
- calculated volume (Å³/cell) = 54.5
- formation enthalpy at 0 K (eV per atom) = -0.03
- SG = I4/mmm

***

Computed, not measured: crystalline FeCo2Ag at its relaxed geometry at the GGA-PBEsol level of DFT.

a = 4.1005 Å, b = 4.1005 Å, c = 4.1005 Å
α = 60.00°, β = 60.00°, γ = 60.00°
Each line ends with the local moment (μB).
Atoms (fractional coordinates):
Ag (0.0000, 0.0000, 0.0000)  -0.01
Co (0.2500, 0.2500, 0.2500)  1.59
Co (0.7500, 0.7500, 0.7500)  1.59
Fe (0.5000, 0.5000, 0.5000)  2.70

Properties
- calculated volume (Å³/cell) = 48.8
- formation enthalpy at 0 K (eV per atom) = 0.36
- SG = Fm-3m
- relative energy among the computed polymorphs (eV/atom) = 0.045

***

Computed, not measured: crystalline LuTlO3 at its relaxed geometry at the GGA-PBEsol level of DFT.

a = 5.6297 Å, b = 5.7298 Å, c = 8.2668 Å
α = 90.00°, β = 90.00°, γ = 90.00°
Atoms (fractional coordinates):
Lu (0.5000, 0.0000, 0.0000)
Lu (0.5000, 0.0000, 0.5000)
Lu (0.0000, 0.5000, 0.0000)
Lu (0.0000, 0.5000, 0.5000)
Tl (0.9869, 0.0494, 0.2500)
Tl (0.4869, 0.4506, 0.7500)
Tl (0.5131, 0.5494, 0.2500)
Tl (0.0131, 0.9506, 0.7500)
O (0.6246, 0.0862, 0.7500)
O (0.1748, 0.1787, 0.5702)
O (0.1748, 0.1787, 0.9298)
O (0.6748, 0.3213, 0.4298)
O (0.6748, 0.3213, 0.0702)
O (0.1246, 0.4138, 0.2500)
O (0.8754, 0.5862, 0.7500)
O (0.3252, 0.6787, 0.5702)
O (0.3252, 0.6787, 0.9298)
O (0.8252, 0.8213, 0.0702)
O (0.8252, 0.8213, 0.4298)
O (0.3754, 0.9138, 0.2500)

Properties
- calculated volume (Å³/cell) = 266.7
- SG = Pnma

***

Computed, not measured: crystalline ZnP2IO at its relaxed geometry at the GGA-PBEsol level of DFT.

a = 3.7214 Å, b = 4.8219 Å, c = 4.8219 Å
α = 90.00°, β = 90.00°, γ = 90.00°
Atoms (fractional coordinates):
I (0.5000, 0.5000, 0.5000)
P (0.0000, 0.0000, 0.5000)
P (0.0000, 0.5000, 0.0000)
Zn (0.0000, 0.0000, 0.0000)
O (0.5000, 0.0000, 0.0000)

Properties
- calculated volume (Å³/cell) = 86.5
- SG = P4/mmm

***

Computed, not measured: crystalline CdPbSe2 at its relaxed geometry at the GGA-PBEsol level of DFT.

a = 4.1494 Å, b = 4.1494 Å, c = 7.1547 Å
α = 73.14°, β = 73.14°, γ = 60.00°
Atoms (fractional coordinates):
Pb (0.5000, 0.5000, 0.5000)
Se (0.7415, 0.7415, 0.7754)
Se (0.2585, 0.2585, 0.2246)
Cd (0.0000, 0.0000, 0.0000)

Properties
- calculated volume (Å³/cell) = 100.5
- SG = R-3m

***

Computed, not measured: crystalline CdCoSb3 at its relaxed geometry at the GGA-PBEsol level of DFT.

a = 4.9270 Å, b = 4.9270 Å, c = 4.9270 Å
α = 90.00°, β = 90.00°, γ = 90.00°
Atoms (fractional coordinates):
Sb (0.0000, 0.5000, 0.0000)
Sb (0.0000, 0.0000, 0.5000)
Sb (0.5000, 0.0000, 0.0000)
Co (0.0000, 0.0000, 0.0000)
Cd (0.5000, 0.5000, 0.5000)

Properties
- calculated volume (Å³/cell) = 119.6
- SG = Pm-3m

***

Computed, not measured: crystalline ZrCoOs3 at its relaxed geometry at the GGA-PBEsol level of DFT.

a = 4.3835 Å, b = 4.3835 Å, c = 4.3835 Å
α = 90.00°, β = 90.00°, γ = 90.00°
Each line ends with the local moment (μB).
Atoms (fractional coordinates):
Co (0.0000, 0.0000, 0.0000)  1.42
Os (0.0000, 0.5000, 0.0000)  0.32
Os (0.0000, 0.0000, 0.5000)  0.32
Os (0.5000, 0.0000, 0.0000)  0.32
Zr (0.5000, 0.5000, 0.5000)  0.12

Properties
- calculated volume (Å³/cell) = 84.2
- formation enthalpy at 0 K (eV per atom) = 1.17
- SG = Pm-3m

***

Computed, not measured: crystalline Al2MoRu at its relaxed geometry at the GGA-PBEsol level of DFT.

a = 2.8157 Å, b = 4.2518 Å, c = 5.0162 Å
α = 90.00°, β = 104.61°, γ = 90.00°
Atoms (fractional coordinates):
Ru (0.0953, 0.5000, 0.7463)
Mo (0.4674, 0.0000, 0.5266)
Al (0.1526, 0.0000, 0.0056)
Al (0.7847, 0.5000, 0.2215)

Properties
- calculated volume (Å³/cell) = 58.1
- formation enthalpy at 0 K (eV per atom) = -0.16
- SG = Pm
- relative energy among the computed polymorphs (eV/atom) = 0.100

***

Computed, not measured: crystalline KCdPb2 at its relaxed geometry at the GGA-PBEsol level of DFT.

a = 3.7451 Å, b = 4.8347 Å, c = 7.2726 Å
α = 90.00°, β = 104.11°, γ = 90.00°
Atoms (fractional coordinates):
Pb (0.6904, 0.0000, 0.8091)
Pb (0.3096, 0.0000, 0.1909)
K (0.0000, 0.5000, 0.5000)
Cd (0.5000, 0.5000, 0.0000)

Properties
- calculated volume (Å³/cell) = 127.7
- formation enthalpy at 0 K (eV per atom) = -0.06
- SG = P2/m

***

Computed, not measured: crystalline RbHfS3 at its relaxed geometry at the GGA-PBEsol level of DFT.

a = 4.9670 Å, b = 4.9670 Å, c = 4.9670 Å
α = 90.00°, β = 90.00°, γ = 90.00°
Atoms (fractional coordinates):
S (0.0000, 0.5000, 0.0000)
S (0.0000, 0.0000, 0.5000)
S (0.5000, 0.0000, 0.0000)
Hf (0.0000, 0.0000, 0.0000)
Rb (0.5000, 0.5000, 0.5000)

Properties
- calculated volume (Å³/cell) = 122.5
- SG = Pm-3m

***

Computed, not measured: crystalline NbTlBi3 at its relaxed geometry at the GGA-PBEsol level of DFT.

a = 5.4818 Å, b = 5.4818 Å, c = 5.4818 Å
α = 90.00°, β = 90.00°, γ = 90.00°
Atoms (fractional coordinates):
Tl (0.5000, 0.5000, 0.5000)
Bi (0.0000, 0.5000, 0.0000)
Bi (0.0000, 0.0000, 0.5000)
Bi (0.5000, 0.0000, 0.0000)
Nb (0.0000, 0.0000, 0.0000)

Properties
- calculated volume (Å³/cell) = 164.7
- formation enthalpy at 0 K (eV per atom) = 0.34
- SG = Pm-3m

***

Computed, not measured: crystalline IrRuRh2 at its relaxed geometry at the GGA-PBEsol level of DFT.

a = 2.6777 Å, b = 2.6777 Å, c = 7.5857 Å
α = 90.00°, β = 90.00°, γ = 90.00°
Atoms (fractional coordinates):
Ru (0.0000, 0.0000, 0.5001)
Ir (0.5000, 0.5000, 0.7464)
Rh (0.0000, 0.0000, 0.0000)
Rh (0.5000, 0.5000, 0.2535)

Properties
- calculated volume (Å³/cell) = 54.4
- formation enthalpy at 0 K (eV per atom) = -0.02
- SG = P4mm
- relative energy among the computed polymorphs (eV/atom) = 0.001

***

Computed, not measured: crystalline MgPb2Au at its relaxed geometry at the GGA-PBEsol level of DFT.

a = 4.3606 Å, b = 4.6517 Å, c = 4.6517 Å
α = 90.00°, β = 90.00°, γ = 90.00°
Atoms (fractional coordinates):
Au (0.5000, 0.5000, 0.5000)
Mg (0.5000, 0.0000, 0.0000)
Pb (0.0000, 0.0000, 0.5000)
Pb (0.0000, 0.5000, 0.0000)

Properties
- calculated volume (Å³/cell) = 94.4
- formation enthalpy at 0 K (eV per atom) = -0.07
- SG = P4/mmm

***

Computed, not measured: crystalline In2CoOs at its relaxed geometry at the GGA-PBEsol level of DFT.

a = 3.8891 Å, b = 3.8891 Å, c = 5.0539 Å
α = 112.63°, β = 112.63°, γ = 90.00°
Each line ends with the local moment (μB).
Atoms (fractional coordinates):
Co (0.2500, 0.7500, 0.5000)  1.51
In (0.0000, 0.0000, 0.0000)  -0.02
In (0.7500, 0.2500, 0.5000)  -0.01
Os (0.5000, 0.5000, 0.0000)  0.49

Properties
- calculated volume (Å³/cell) = 64.1
- formation enthalpy at 0 K (eV per atom) = 0.48
- SG = I-4m2

***

Computed, not measured: crystalline Cr3PtN at its relaxed geometry at the GGA-PBEsol level of DFT.

a = 3.7876 Å, b = 3.7876 Å, c = 3.7876 Å
α = 90.00°, β = 90.00°, γ = 90.00°
Atoms (fractional coordinates):
Cr (0.5000, 0.0000, 0.5000)
Cr (0.0000, 0.5000, 0.5000)
Cr (0.5000, 0.5000, 0.0000)
Pt (0.0000, 0.0000, 0.0000)
N (0.5000, 0.5000, 0.5000)

Properties
- calculated volume (Å³/cell) = 54.3
- SG = Pm-3m

***

Computed, not measured: crystalline K5Br at its relaxed geometry at the GGA-PBEsol level of DFT.

a = 4.5384 Å, b = 7.7308 Å, c = 10.9678 Å
α = 105.18°, β = 101.94°, γ = 90.00°
Atoms (fractional coordinates):
K (0.3464, 0.6021, 0.6928)
K (0.6540, 0.4184, 0.3080)
K (0.5467, 0.8122, 0.0934)
K (0.9497, 0.2121, 0.8995)
K (0.2397, 0.0055, 0.4793)
Br (0.0968, 0.1165, 0.1936)

Properties
- calculated volume (Å³/cell) = 362.8
- SG = Cm

***

Computed, not measured: crystalline HgRhSN2 at its relaxed geometry at the GGA-PBEsol level of DFT.

a = 3.7497 Å, b = 3.7497 Å, c = 5.2875 Å
α = 90.00°, β = 90.00°, γ = 90.00°
Atoms (fractional coordinates):
S (0.0000, 0.0000, 0.5000)
Rh (0.0000, 0.0000, 0.0000)
Hg (0.5000, 0.5000, 0.5000)
N (0.0000, 0.5000, 0.0000)
N (0.5000, 0.0000, 0.0000)

Properties
- calculated volume (Å³/cell) = 74.3
- SG = P4/mmm

***

Computed, not measured: crystalline NiAg2Cl at its relaxed geometry at the GGA-PBEsol level of DFT.

a = 3.8314 Å, b = 3.8314 Å, c = 4.3377 Å
α = 90.00°, β = 90.00°, γ = 90.00°
Each line ends with the local moment (μB).
Atoms (fractional coordinates):
Ni (0.0000, 0.0000, 0.5000)  0.61
Ag (0.0000, 0.5000, 0.0000)  0.00
Ag (0.5000, 0.0000, 0.0000)  0.00
Cl (0.5000, 0.5000, 0.5000)  0.05

Properties
- calculated volume (Å³/cell) = 63.7
- SG = P4/mmm
- relative energy among the computed polymorphs (eV/atom) = 0.014

***

Computed, not measured: crystalline ScAlTe2 at its relaxed geometry at the GGA-PBEsol level of DFT.

a = 3.6854 Å, b = 3.6891 Å, c = 6.9323 Å
α = 100.06°, β = 90.00°, γ = 90.00°
Atoms (fractional coordinates):
Sc (0.5000, 0.5000, 0.0000)
Te (0.0000, 0.9020, 0.7589)
Te (0.0000, 0.0980, 0.2411)
Al (0.5000, 0.5000, 0.5000)

Properties
- calculated volume (Å³/cell) = 92.8
- SG = P2/m

***

Computed, not measured: crystalline ScTeAu2 at its relaxed geometry at the GGA-PBEsol level of DFT.

a = 4.1281 Å, b = 4.1281 Å, c = 5.4586 Å
α = 112.22°, β = 112.22°, γ = 90.00°
Atoms (fractional coordinates):
Au (0.7500, 0.2500, 0.5000)
Au (0.2500, 0.7500, 0.5000)
Sc (0.5000, 0.5000, 0.0000)
Te (0.0000, 0.0000, 0.0000)

Properties
- calculated volume (Å³/cell) = 78.6
- SG = I4/mmm

***

Computed, not measured: crystalline ErFe2Si2 at its relaxed geometry at the GGA-PBEsol level of DFT.

a = 3.8902 Å, b = 3.8902 Å, c = 5.4396 Å
α = 110.95°, β = 110.95°, γ = 90.00°
Atoms (fractional coordinates):
Si (0.3676, 0.3676, 0.7351)
Si (0.6324, 0.6324, 0.2649)
Fe (0.2500, 0.7500, 0.5000)
Fe (0.7500, 0.2500, 0.5000)
Er (0.0000, 0.0000, 0.0000)

Properties
- calculated volume (Å³/cell) = 71.0
- SG = I4/mmm

***

| no. | DFT total energy (eV per atom) |
| --- | --- |
| 1 | -8.727 |
| 2 | -8.075 |
| 3 | -2.727 |
| 4 | -10.849 |
| 5 | -6.132 |
| 6 | -6.693 |
| 7 | -8.842 |
| 8 | -6.575 |
| 9 | -6.808 |
| 10 | -3.542 |
| 11 | -3.725 |
| 12 | -4.202 |
| 13 | -9.528 |
| 14 | -7.689 |
| 15 | -2.637 |
| 16 | -6.185 |
| 17 | -4.918 |
| 18 | -9.084 |
| 19 | -3.476 |
| 20 | -6.001 |
| 21 | -9.669 |
| 22 | -1.766 |
| 23 | -5.179 |
| 24 | -3.302 |
| 25 | -4.992 |
| 26 | -4.977 |
| 27 | -7.622 |